1.
{
  "formula": "AgSb2H2",
  "functional": "PBE-GGA",
  "state": "optimized geometry",
  "cell": [[-2.6018, 2.1913, 0.6918], [-1.8813, -2.6314, 1.2597], [0.2968, 0.8750, 7.0541]],
  "species": ["H", "Ag", "Sb", "Sb", "H"],
  "fractional_positions": [[0.2500, 0.7500, 0.5000], [0.0000, 0.0000, 0.0000], [0.3628, 0.3628, 0.2743], [0.6372, 0.6372, 0.7257], [0.7500, 0.2500, 0.5000]],
  "vol_a3_per_fu": 80.46
}



2.
{
  "formula": "Sr5ErCd6",
  "functional": "PBE-GGA",
  "state": "optimized geometry",
  "cell": [[5.5804, -0.3653, 0.9312], [-0.0217, 7.3250, 3.0037], [1.3303, 0.2984, 9.7156]],
  "species": ["Er", "Cd", "Cd", "Cd", "Sr", "Sr", "Cd", "Sr", "Sr", "Cd", "Cd", "Sr"],
  "fractional_positions": [[0.0000, 0.0000, 0.0000], [0.8430, 0.6103, 0.3155], [0.4999, 0.2153, 0.0000], [0.1570, 0.3897, 0.6845], [0.3266, 0.8260, 0.3479], [0.6734, 0.1740, 0.6521], [0.8431, 0.0744, 0.3155], [0.3373, 0.3374, 0.3253], [0.0000, 0.5000, 0.0000], [0.1569, 0.9256, 0.6845], [0.5001, 0.7847, 0.0000], [0.6627, 0.6626, 0.6747]],
  "formation_enthalpy_0k_mev_per_atom": -312,
  "vol_a3_per_fu": 381.52
}



3.
{
  "formula": "LuBiS2",
  "functional": "PBE-GGA",
  "state": "optimized geometry",
  "cell": [[3.8253, 0.0000, 0.0000], [1.9126, 3.3128, 0.0000], [1.9126, 1.1043, 8.5582]],
  "species": ["Lu", "S", "S", "Bi"],
  "fractional_positions": [[0.5000, 0.5000, 0.5000], [0.8911, 0.8911, 0.3267], [0.1089, 0.1089, 0.6733], [0.0000, 0.0000, 0.0000]],
  "vol_a3_per_fu": 108.45,
  "formation_energy_uncorrected_kcal_per_mol_atoms": -29.94
}



4.
{
  "formula": "GaNiI6",
  "functional": "PBE-GGA",
  "state": "optimized geometry",
  "cell": [[-5.6600, 3.8714, -2.0198], [-5.8365, 0.2017, 4.1038], [-1.5740, 6.2228, 3.6841]],
  "species": ["I", "I", "I", "I", "I", "Ni", "I", "Ga"],
  "fractional_positions": [[0.6132, 0.2386, 0.2438], [0.2386, 0.9046, 0.2440], [0.9048, 0.6129, 0.2438], [0.0952, 0.3871, 0.7562], [0.3868, 0.7614, 0.7562], [0.0000, 0.0000, 0.0000], [0.7614, 0.0954, 0.7560], [0.5000, 0.5000, 0.5000]],
  "vol_a3_per_fu": 271.29,
  "formation_energy_uncorrected_kcal_per_mol_atoms": -1.72
}



Calculated values (eV/atom) of total DFT energy (no corrections) for the records, taken in order: -3.082; -1.851; -5.462; -2.338.
Calculated values (μB per formula unit) of size of the total moment for the records, taken in order: 0.000; 0.000; 0.000; 1.081.
Calculated values (g/cm³) of calculated density for the records, taken in order: 7.293; 5.570; 6.861; 5.447.